(1)
CaHf3Pt: optimized geometry, GGA-PBE.

Lattice parameters (Å, degrees): 5.1569 5.1569 5.1569 90.00 90.00 90.00
Fractional positions:
1 Ca 0.5000 0.5000 0.5000
2 Hf 0.0000 0.5000 0.0000
3 Hf 0.0000 0.0000 0.5000
4 Hf 0.5000 0.0000 0.0000
5 Pt 0.0000 0.0000 0.0000

Calculated values
As for the magnetization: 0.00 μB/cell. For the formation energy, the calculation gives 0.154 eV/atom. As for the space-group type: Pm-3m, No. 221. The calculation puts the total energy at -7.427 eV per atom. The value obtained for the density is 9331 kg/m3.


(2)
MgPdIN2: optimized geometry, GGA-PBE.

Lattice parameters (Å, degrees): 4.0922 4.0922 6.2807 90.00 90.00 90.00
Site moments in Bohr magnetons follow the coordinates.
Fractional positions:
1 I 0.0000 0.0000 0.5000  0.08
2 Mg 0.0000 0.0000 0.0000  -0.01
3 Pd 0.5000 0.5000 0.5000  0.16
4 N 0.0000 0.5000 0.0000  1.31
5 N 0.5000 0.0000 0.0000  1.31

Calculated values
As for the magnetization: 4.23 μB/cell. As for the space-group type: P4/mmm, No. 123. The calculation puts the total energy at -3.755 eV per atom. For the energy relative to the elements, uncorrected, the calculation gives 1243 meV per atom. The value obtained for the density is 4510 kg/m3.


(3)
Y5Ga2Pt: optimized geometry, GGA-PBE.

Lattice parameters (Å, degrees): 7.4107 7.4108 9.0440 114.19 114.19 90.00
Fractional positions:
1 Y 0.5238 0.6780 0.7018
2 Y 0.8220 0.9762 0.2982
3 Y 0.0000 0.0000 0.0000
4 Y 0.5000 0.5000 0.0000
5 Y 0.1780 0.0238 0.7018
6 Y 0.6780 0.1780 0.7018
7 Y 0.0238 0.5238 0.7018
8 Y 0.3220 0.8220 0.2982
9 Y 0.9762 0.4762 0.2982
10 Y 0.4762 0.3220 0.2982
11 Ga 0.1211 0.3789 0.0000
12 Ga 0.6211 0.1211 0.0000
13 Ga 0.3789 0.8789 0.0000
14 Ga 0.8789 0.6211 0.0000
15 Pt 0.7500 0.7500 0.5000
16 Pt 0.2500 0.2500 0.5000

Calculated values
As for the magnetization: 0.00 μB/cell. For the formation energy, the calculation gives -0.661 eV/atom. As for the space-group type: I4/mcm, No. 140. The calculation puts the total energy at -6.213 eV per atom. The value obtained for the density is 6391 kg/m3.


(4)
LaEuZnRu: optimized geometry, GGA-PBE.

Lattice parameters (Å, degrees): 5.1059 5.1059 5.1059 60.00 60.00 60.00
Site moments in Bohr magnetons follow the coordinates.
Fractional positions:
1 Eu 0.5000 0.5000 0.5000  6.78
2 Ru 0.7500 0.7500 0.7500  -0.31
3 Zn 0.2500 0.2500 0.2500  0.02
4 La 0.0000 0.0000 0.0000  0.06

Calculated values
As for the magnetization: 6.90 μB/cell. For the formation energy, the calculation gives -0.128 eV/atom. As for the space-group type: F-43m, No. 216. The calculation puts the total energy at -6.566 eV per atom. The value obtained for the density is 8069 kg/m3.